[1]
LiAl2Zn: PBEsol geometry, SCAN.

Calculated values
* ΔE_f: -0.111 eV/atom
* energy: -7.963 eV per atom
* space-group type: I-4m2, No. 119
* calculated volume: 15.3 Å³/atom
* magnetization: 0.0 Bohr magnetons per cell
* crystal system: tetragonal

Cell lengths 3.961, 3.961, 4.797 Å; angles 114.38, 114.38, 90.00 degrees
Fractional positions:
Li: 0.000 0.000 0.000
Al: 0.500 0.500 0.000
Al: 0.750 0.250 0.500
Zn: 0.250 0.750 0.500

[2]
Li2AlZn: PBEsol geometry, SCAN.

Calculated values
* ΔE_f: -0.152 eV/atom
* energy: -6.664 eV per atom
* space-group type: I4/mmm, No. 139
* calculated volume: 15.2 Å³/atom
* magnetization: 0.0 Bohr magnetons per cell
* crystal system: tetragonal

Cell lengths 3.798, 3.798, 4.989 Å; angles 112.38, 112.38, 90.00 degrees
Fractional positions:
Zn: 0.500 0.500 0.000
Li: 0.750 0.250 0.500
Li: 0.250 0.750 0.500
Al: 0.000 0.000 0.000

[3]
LiAl2Zn2: PBEsol geometry, SCAN.

Calculated values
* ΔE_f: -0.042 eV/atom
* energy: -9.027 eV per atom
* space-group type: I4/mmm, No. 139
* calculated volume: 17.6 Å³/atom
* magnetization: 0.0 Bohr magnetons per cell
* crystal system: tetragonal

Cell lengths 3.879, 3.879, 6.465 Å; angles 107.46, 107.46, 90.00 degrees
Fractional positions:
Al: 0.250 0.750 0.500
Al: 0.750 0.250 0.500
Zn: 0.602 0.602 0.204
Zn: 0.398 0.398 0.796
Li: 0.000 0.000 0.000

[4]
LiAl2Zn: PBEsol geometry, SCAN.

Calculated values
* ΔE_f: -0.067 eV/atom
* energy: -7.919 eV per atom
* space-group type: Cmmm, No. 65
* calculated volume: 15.6 Å³/atom
* magnetization: 0.0 Bohr magnetons per cell
* crystal system: orthorhombic

Cell lengths 2.787, 4.900, 4.900 Å; angles 111.40, 90.00, 90.00 degrees
Fractional positions:
Li: 0.500 0.000 0.000
Zn: 0.500 0.500 0.500
Al: 0.000 0.500 0.000
Al: 0.000 0.000 0.500

[5]
Li2AlZn: PBEsol geometry, SCAN.

Calculated values
* ΔE_f: -0.174 eV/atom
* energy: -6.686 eV per atom
* space-group type: Pm, No. 6
* calculated volume: 15.1 Å³/atom
* magnetization: 0.0 Bohr magnetons per cell
* crystal system: monoclinic

Cell lengths 2.745, 4.381, 5.027 Å; angles 90.00, 90.02, 90.00 degrees
Fractional positions:
Li: 0.876 0.000 0.973
Li: 0.874 0.500 0.280
Zn: 0.374 0.000 0.477
Al: 0.376 0.500 0.769

[6]
LiAlZn2: PBEsol geometry, SCAN.

Calculated values
* ΔE_f: -0.135 eV/atom
* energy: -9.428 eV per atom
* space-group type: I-4m2, No. 119
* calculated volume: 14.4 Å³/atom
* magnetization: 0.0 Bohr magnetons per cell
* crystal system: tetragonal

Cell lengths 3.856, 3.856, 4.748 Å; angles 113.96, 113.96, 90.00 degrees
Fractional positions:
Zn: 0.250 0.750 0.500
Zn: 0.000 0.000 0.000
Al: 0.500 0.500 0.000
Li: 0.750 0.250 0.500

[7]
Li2AlZn: PBEsol geometry, SCAN.

Calculated values
* ΔE_f: -0.156 eV/atom
* energy: -6.668 eV per atom
* space-group type: Cm, No. 8
* calculated volume: 15.1 Å³/atom
* magnetization: 0.0 Bohr magnetons per cell
* crystal system: monoclinic

Cell lengths 2.720, 4.645, 5.045 Å; angles 96.17, 90.00, 107.03 degrees
Fractional positions:
Al: 0.754 0.507 0.261
Li: 0.007 0.015 0.998
Li: 0.241 0.482 0.746
Zn: 0.498 0.996 0.494

[8]
Li2AlZn: PBEsol geometry, SCAN.

Calculated values
* ΔE_f: -0.151 eV/atom
* energy: -6.663 eV per atom
* space-group type: Imm2, No. 44
* calculated volume: 14.5 Å³/atom
* magnetization: 0.0 Bohr magnetons per cell
* crystal system: orthorhombic

Cell lengths 3.153, 4.392, 4.982 Å; angles 116.15, 108.45, 90.00 degrees
Fractional positions:
Zn: 0.494 0.494 0.989
Al: 0.247 0.747 0.494
Li: 0.004 0.004 0.008
Li: 0.755 0.255 0.509